# Pm3PuP4, relaxed, DFT PBE
data_Pm3PuP4
_space_group_name_H-M_alt 'P 1 2/c 1'
_space_group_IT_number 13
_space_group_name_Hall '-P 2yc'
_cell_length_a 7.082
_cell_length_b 8.194
_cell_length_c 7.095
_cell_angle_alpha 90.00
_cell_angle_beta 109.50
_cell_angle_gamma 90.00
loop_
_atom_site_label
_atom_site_fract_x
_atom_site_fract_y
_atom_site_fract_z
Pm1 0.000 0.125 0.250
Pm2 0.000 0.375 0.750
Pm3 0.500 0.125 0.750
Pu1 0.500 0.375 0.250
P1 0.253 0.130 0.005
P2 0.261 0.381 0.499
# - Density: 6.870 g/cm³
# - Energy relative to the lowest polymorph listed for this composition: 0 meV/atom
# - Uncorrected energy: -123.68 eV per cell

# Pm3PuP4, relaxed, DFT PBE
data_Pm3PuP4
_space_group_name_H-M_alt 'C m m m'
_space_group_IT_number 65
_space_group_name_Hall '-C 2 2'
_cell_length_a 8.183
_cell_length_b 11.573
_cell_length_c 4.102
_cell_angle_alpha 90.00
_cell_angle_beta 90.00
_cell_angle_gamma 90.00
loop_
_atom_site_label
_atom_site_fract_x
_atom_site_fract_y
_atom_site_fract_z
Pm1 0.000 0.000 0.000
Pm2 0.250 0.250 0.500
Pu1 0.000 0.500 0.000
P1 0.000 0.254 0.000
P2 0.241 0.500 0.500
# - Density: 6.864 g/cm³
# - Energy relative to the lowest polymorph listed for this composition: 5 meV/atom
# - Uncorrected energy: -123.60 eV per cell

# PmPu5P6, relaxed, DFT PBE
data_PmPu5P6
_space_group_name_H-M_alt 'C 1 2/m 1'
_space_group_IT_number 12
_space_group_name_Hall '-C 2y'
_cell_length_a 6.956
_cell_length_b 12.045
_cell_length_c 6.933
_cell_angle_alpha 90.00
_cell_angle_beta 109.54
_cell_angle_gamma 90.00
loop_
_atom_site_label
_atom_site_fract_x
_atom_site_fract_y
_atom_site_fract_z
Pm1 0.000 0.000 0.000
Pu1 0.000 0.165 0.500
Pu2 0.000 0.333 0.000
Pu3 0.000 0.500 0.500
P1 0.243 0.500 0.253
P2 0.245 0.330 0.746
# - Density: 9.408 g/cm³
# - Uncorrected energy: -246.10 eV per cell

# PmPuP, relaxed, DFT PBE
data_PmPuP
_space_group_name_H-M_alt 'F -4 3 m'
_space_group_IT_number 216
_space_group_name_Hall 'F -4 2 3'
_cell_length_a 6.803
_cell_length_b 6.803
_cell_length_c 6.803
_cell_angle_alpha 90.00
_cell_angle_beta 90.00
_cell_angle_gamma 90.00
loop_
_atom_site_label
_atom_site_fract_x
_atom_site_fract_y
_atom_site_fract_z
Pm1 0.000 0.000 0.000
Pu1 0.000 0.000 0.500
P1 0.250 0.250 0.750
# - Density: 8.860 g/cm³
# - Energy relative to the lowest polymorph listed for this composition: 60 meV/atom
# - Uncorrected energy: -105.45 eV per cell

# PmPuP, relaxed, DFT PBE
data_PmPuP
_space_group_name_H-M_alt 'P 3 m 1'
_space_group_IT_number 156
_space_group_name_Hall 'P 3 -2"'
_cell_length_a 3.8548
_cell_length_b 3.8548
_cell_length_c 6.5816
_cell_angle_alpha 90.00
_cell_angle_beta 90.00
_cell_angle_gamma 120.00
loop_
_atom_site_label
_atom_site_fract_x
_atom_site_fract_y
_atom_site_fract_z
Pm1 0.0000 0.0000 0.0000
Pu1 0.6667 0.3333 0.5173
P1 0.3333 0.6667 0.2654
# - Density: 8.234 g/cm³
# - Energy relative to the lowest polymorph listed for this composition: 0 meV/atom
# - Uncorrected energy: -26.54 eV per cell

# Pm4PuP5, relaxed, DFT PBE
data_Pm4PuP5
_space_group_name_H-M_alt 'I 4/m'
_space_group_IT_number 87
_space_group_name_Hall '-I 4'
_cell_length_a 9.174
_cell_length_b 9.174
_cell_length_c 5.799
_cell_angle_alpha 90.00
_cell_angle_beta 90.00
_cell_angle_gamma 90.00
loop_
_atom_site_label
_atom_site_fract_x
_atom_site_fract_y
_atom_site_fract_z
Pm1 0.099 0.301 0.000
Pu1 0.000 0.000 0.500
P1 0.000 0.000 0.000
P2 0.097 0.293 0.500
# - Density: 6.660 g/cm³
# - Uncorrected energy: -150.14 eV per cell

# Pm2PuP3Rh4, relaxed, DFT PBE
data_Pm2PuP3Rh4
_space_group_name_H-M_alt 'P -4 m 2'
_space_group_IT_number 115
_space_group_name_Hall 'P -4 -2'
_cell_length_a 4.034
_cell_length_b 4.034
_cell_length_c 11.152
_cell_angle_alpha 90.00
_cell_angle_beta 90.00
_cell_angle_gamma 90.00
loop_
_atom_site_label
_atom_site_fract_x
_atom_site_fract_y
_atom_site_fract_z
Pm1 0.000 0.500 0.224
Pu1 0.000 0.000 0.500
P1 0.000 0.500 0.876
P2 0.500 0.500 0.500
Rh1 0.000 0.000 0.000
Rh2 0.000 0.500 0.667
Rh3 0.500 0.500 0.000
# - Density: 9.501 g/cm³
# - Uncorrected energy: -79.38 eV per cell

# PmPuPS, relaxed, DFT PBE
data_PmPuPS
_space_group_name_H-M_alt 'R 3 m'
_space_group_IT_number 160
_space_group_name_Hall 'R 3 -2"'
_cell_length_a 4.0515
_cell_length_b 4.0515
_cell_length_c 19.6384
_cell_angle_alpha 90.00
_cell_angle_beta 90.00
_cell_angle_gamma 120.00
loop_
_atom_site_label
_atom_site_fract_x
_atom_site_fract_y
_atom_site_fract_z
Pm1 0.0000 0.0000 0.0000
Pu1 0.0000 0.0000 0.5018
P1 0.0000 0.0000 0.2479
S1 0.0000 0.0000 0.7542
# - Density: 8.066 g/cm³
# - Uncorrected energy: -106.00 eV per cell

# PmPu2ScP4, relaxed, DFT PBE
data_PmPu2ScP4
_space_group_name_H-M_alt 'P 1 2/m 1'
_space_group_IT_number 10
_space_group_name_Hall '-P 2y'
_cell_length_a 6.853
_cell_length_b 3.986
_cell_length_c 6.873
_cell_angle_alpha 90.00
_cell_angle_beta 109.68
_cell_angle_gamma 90.00
loop_
_atom_site_label
_atom_site_fract_x
_atom_site_fract_y
_atom_site_fract_z
Pm1 0.000 0.000 0.000
Pu1 0.500 0.000 0.500
Pu2 0.500 0.500 0.000
Sc1 0.000 0.500 0.500
P1 0.247 0.000 0.739
P2 0.255 0.500 0.264
# - Density: 7.533 g/cm³
# - Uncorrected energy: -71.62 eV per cell

# Pm2SmPuP4, relaxed, DFT PBE
data_Pm2SmPuP4
_space_group_name_H-M_alt 'P 1 2/m 1'
_space_group_IT_number 10
_space_group_name_Hall '-P 2y'
_cell_length_a 7.074
_cell_length_b 4.095
_cell_length_c 7.076
_cell_angle_alpha 90.00
_cell_angle_beta 109.48
_cell_angle_gamma 90.00
loop_
_atom_site_label
_atom_site_fract_x
_atom_site_fract_y
_atom_site_fract_z
Pm1 0.000 0.000 0.000
Pm2 0.500 0.500 0.000
Sm1 0.000 0.500 0.500
Pu1 0.500 0.000 0.500
P1 0.253 0.000 0.745
P2 0.258 0.500 0.259
# - Density: 6.944 g/cm³
# - Uncorrected energy: -61.80 eV per cell

# Tb2PmPuP4, relaxed, DFT PBE
data_Tb2PmPuP4
_space_group_name_H-M_alt 'P 1 2/m 1'
_space_group_IT_number 10
_space_group_name_Hall '-P 2y'
_cell_length_a 6.993
_cell_length_b 4.051
_cell_length_c 7.001
_cell_angle_alpha 90.00
_cell_angle_beta 109.50
_cell_angle_gamma 90.00
loop_
_atom_site_label
_atom_site_fract_x
_atom_site_fract_y
_atom_site_fract_z
Tb1 0.000 0.000 0.000
Tb2 0.000 0.500 0.500
Pm1 0.500 0.000 0.500
Pu1 0.500 0.500 0.000
P1 0.248 0.500 0.244
P2 0.252 0.000 0.756
# - Density: 7.379 g/cm³
# - Uncorrected energy: -61.75 eV per cell

# TbPmPu2P4, relaxed, DFT PBE
data_TbPmPu2P4
_space_group_name_H-M_alt 'P 1 2/m 1'
_space_group_IT_number 10
_space_group_name_Hall '-P 2y'
_cell_length_a 6.954
_cell_length_b 4.044
_cell_length_c 7.003
_cell_angle_alpha 90.00
_cell_angle_beta 109.61
_cell_angle_gamma 90.00
loop_
_atom_site_label
_atom_site_fract_x
_atom_site_fract_y
_atom_site_fract_z
Tb1 0.000 0.000 0.000
Pm1 0.000 0.500 0.500
Pu1 0.500 0.000 0.500
Pu2 0.500 0.500 0.000
P1 0.259 0.500 0.250
P2 0.262 0.000 0.757
# - Density: 8.197 g/cm³
# - Uncorrected energy: -70.62 eV per cell

What is the density in the first record? 6.870 g/cm³